# 1
Below is crystalline KHfTe3Au at its relaxed geometry, with properties calculated at the PBE-GGA level.

Values from the calculation:
As for the total magnetization: 0.02 μB per cell. For the raw total energy, the calculation gives -0.1679 hartree per atom.

```
KHfTe3Au
1.0
12.7810 0.0000 0.0000
0.0000 4.2790 0.0000
0.0000 0.0000 13.5296
Te K Hf Au
12 4 4 4
Cartesian
1.0369 3.2092 5.7649
11.7441 1.0697 7.7647
3.4353 3.2092 8.9066
7.4275 3.2092 0.9999
5.9735 3.2092 4.2808
0.4170 1.0697 11.0456
9.3457 1.0697 4.6230
9.8259 3.2092 11.3878
2.9552 1.0697 2.1418
6.8075 1.0697 9.2488
12.3640 3.2092 2.4840
5.3536 1.0697 12.5297
8.6506 3.2092 7.1265
2.2601 3.2092 13.1679
4.1305 1.0697 6.4031
10.5210 1.0697 0.3617
7.0864 3.2092 11.2824
0.6959 3.2092 9.0120
5.6947 1.0697 2.2472
12.0852 1.0697 4.5176
9.5583 1.0697 9.5566
3.1678 1.0697 10.7377
3.2228 3.2092 3.9729
9.6133 3.2092 2.7919
```

# 2
Below is crystalline KCu3OsS4 at its relaxed geometry, with properties calculated at the PBE-GGA level.

Values from the calculation:
As for the total magnetization: 0.00 μB per cell. For the raw total energy, the calculation gives -0.1676 hartree per atom.

```
KCu3OsS4
1.0
5.8678 0.0000 0.0000
0.0000 5.8678 0.0000
0.0000 0.0000 5.8678
S Cu K Os
4 3 1 1
Cartesian
4.2248 1.6430 4.2248
4.2248 4.2248 1.6430
1.6430 1.6430 1.6430
1.6430 4.2248 4.2248
0.0000 2.9339 2.9339
2.9339 0.0000 2.9339
2.9339 2.9339 0.0000
0.0000 0.0000 0.0000
2.9339 2.9339 2.9339
```

# 3
Below is crystalline BaCuPb2 at its relaxed geometry, with properties calculated at the PBE-GGA level.

Values from the calculation:
For the raw total energy, the calculation gives -0.1210 hartree per atom.

```
BaCuPb2
1.0
0.7006 -1.8425 5.1931
-4.2733 -2.2396 2.7526
-0.0777 -5.4547 1.0458
Cu Pb Ba
1 2 1
Cartesian
-0.9126 -2.3842 2.2479
0.0000 0.0000 0.0000
-2.7378 -7.1526 6.7436
-1.8252 -4.7684 4.4957
```

# 4
Below is crystalline SrMoW2 at its relaxed geometry, with properties calculated at the PBE-GGA level.

Values from the calculation:
As for the total magnetization: 0.00 μB per cell. For the raw total energy, the calculation gives -0.3106 hartree per atom.

```
SrMoW2
1.0
-0.7095 -3.9313 2.5162
-4.0747 -2.3518 -0.3941
-0.1036 -4.1976 -2.1584
W Sr Mo
2 1 1
Cartesian
0.0000 0.0000 0.0000
-1.2220 -2.6202 -0.0091
-3.6659 -7.8605 -0.0272
-2.4439 -5.2403 -0.0182
```

# 5
Below is crystalline GdErLu2 at its relaxed geometry, with properties calculated at the PBE-GGA level.

Values from the calculation:
As for the total magnetization: 0.09 μB per cell. For the raw total energy, the calculation gives -0.1677 hartree per atom.

```
GdErLu2
1.0
5.5373 0.0000 0.0000
0.0000 3.5527 6.1533
0.0000 -3.5527 6.1533
Er Gd Lu
2 2 4
Cartesian
0.0000 1.7866 7.1745
0.0000 -1.7866 7.1745
2.7687 0.0000 8.2051
0.0000 0.0000 4.1008
2.7687 1.7873 5.1334
2.7687 0.0000 2.0389
2.7687 -1.7873 5.1334
0.0000 0.0000 10.2662
```

# 6
Below is crystalline HoAlPdPt at its relaxed geometry, with properties calculated at the PBE-GGA level.

Values from the calculation:
As for the total magnetization: 0.00 μB per cell. For the raw total energy, the calculation gives -0.2195 hartree per atom.

```
HoAlPdPt
1.0
-0.9756 3.0253 2.9675
-0.5250 -4.2138 0.9371
8.5846 -0.3603 3.1895
Pd Pt Al Ho
2 2 2 2
Cartesian
4.1550 0.4033 4.1411
2.9291 -1.9520 2.9530
7.0241 0.2828 5.2071
0.0599 -1.8316 1.8870
0.0000 0.0000 0.0000
4.2923 -0.1801 1.5948
1.2861 0.5236 3.0752
5.7979 -2.0724 4.0189
```

# 7
Below is crystalline RbUMo at its relaxed geometry, with properties calculated at the PBE-GGA level.

Values from the calculation:
As for the total magnetization: 1.02 μB per cell. For the raw total energy, the calculation gives -0.2037 hartree per atom.

```
RbUMo
1.0
0.0000 3.4313 3.4313
3.4313 0.0000 3.4313
3.4313 3.4313 0.0000
Mo Rb U
1 1 1
Cartesian
0.0000 0.0000 0.0000
1.7157 1.7157 1.7157
5.1470 5.1470 5.1470
```

# 8
Below is crystalline Ho2AlGaNi4 at its relaxed geometry, with properties calculated at the PBE-GGA level.

Values from the calculation:
As for the total magnetization: 0.00 μB per cell. For the raw total energy, the calculation gives -0.1971 hartree per atom.

```
Ho2AlGaNi4
1.0
-0.8514 -2.4237 -3.2476
3.8221 0.0616 1.5919
-2.1814 -6.5936 5.4928
Al Ni Ho Ga
1 4 2 1
Cartesian
-1.0907 -3.2968 2.7464
1.0365 -4.4780 3.0703
-0.2472 -4.4777 0.7667
0.2198 -6.9467 5.1268
0.5696 -2.0090 -1.2898
1.7200 -2.4119 1.3491
-0.9307 -6.5438 2.4879
0.0000 0.0000 0.0000
```

Q: Among the records above, which one has the highest raw total energy?
A: BaCuPb2

Q: Look up the raw total energy of the fourth one.
A: -0.3106 hartree per atom